Record 1
Material: La2TbMg2
Method: DFT, PBE
State: optimized geometry

```
La2TbMg2
1.0
3.815 0.000 -0.512
0.000 5.579 0.000
0.010 0.000 14.586
La Tb Mg
4 2 4
Direct
0.043 0.750 0.086 La
0.957 0.250 0.914 La
0.236 0.750 0.473 La
0.764 0.250 0.527 La
0.849 0.750 0.700 Tb
0.151 0.250 0.300 Tb
0.639 0.750 0.278 Mg
0.361 0.250 0.722 Mg
0.442 0.750 0.885 Mg
0.558 0.250 0.115 Mg
```

Output
uncorrected energy	-3.596	eV per atom
spin magnetization	0.000	μB/cell
crystal system	monoclinic
DFT formation energy	-30	kJ/mol of formula units


Record 2
Material: CdHRh3
Method: DFT, PBE
State: optimized geometry

```
CdHRh3
1.0
-3.507 1.294 2.485
0.759 -4.350 0.808
3.600 2.321 1.343
H Rh Cd
1 3 1
Direct
0.952 0.952 0.952 H
0.727 0.114 0.727 Rh
0.114 0.727 0.727 Rh
0.727 0.727 0.114 Rh
0.357 0.357 0.357 Cd
```

Output
relative energy among the computed polymorphs	378.1	meV per atom
uncorrected energy	-4.909	eV per atom
spin magnetization	0.000	μB/cell
crystal system	trigonal


Record 3
Material: Ce3UOs8
Method: DFT, PBE
State: optimized geometry

```
Ce3UOs8
1.0
-3.717 2.045 3.300
-5.032 -1.885 -0.123
-0.817 -5.948 7.144
Ce U Os
3 1 8
Direct
0.375 0.375 0.875 Ce
0.000 0.000 0.000 Ce
0.500 0.500 0.500 Ce
0.876 0.876 0.373 U
0.936 0.437 0.190 Os
0.440 0.937 0.685 Os
0.437 0.437 0.190 Os
0.937 0.937 0.685 Os
0.187 0.187 0.438 Os
0.687 0.687 0.938 Os
0.437 0.936 0.190 Os
0.937 0.440 0.685 Os
```

Output
uncorrected energy	-10.094	eV per atom
spin magnetization	2.307	μB/cell
crystal system	trigonal
DFT formation energy	-212	kJ/mol of formula units


Record 4
Material: BaSb3
Method: DFT, PBE
State: optimized geometry

```
BaSb3
1.0
3.664 -6.347 0.000
3.664 6.347 0.000
0.000 0.000 5.553
Ba Sb
2 6
Direct
0.333 0.667 0.250 Ba
0.667 0.333 0.750 Ba
0.850 0.700 0.250 Sb
0.300 0.150 0.250 Sb
0.850 0.150 0.250 Sb
0.150 0.300 0.750 Sb
0.700 0.850 0.750 Sb
0.150 0.850 0.750 Sb
```

Output
formation energy without anion corrections	-363	meV/atom
uncorrected energy	-3.936	eV per atom
spin magnetization	0.000	μB/cell
crystal system	hexagonal


Record 5
Material: K3Sc3BiSe8
Method: DFT, PBE
State: optimized geometry

```
K3Sc3BiSe8
1.0
-0.788 -7.774 1.766
7.259 3.402 0.042
-5.463 2.115 6.882
K Sc Bi Se
3 3 1 8
Direct
0.000 0.000 0.000 K
0.000 0.500 0.000 K
0.500 0.500 0.000 K
0.500 0.000 0.500 Sc
0.500 0.500 0.500 Sc
0.000 0.500 0.500 Sc
0.000 0.000 0.500 Bi
0.268 0.537 0.305 Se
0.732 0.463 0.695 Se
0.757 0.515 0.300 Se
0.243 0.485 0.700 Se
0.757 0.042 0.300 Se
0.243 0.958 0.700 Se
0.285 0.042 0.300 Se
0.715 0.958 0.700 Se
```

Output
formation energy without anion corrections	-1339	meV/atom
uncorrected energy	-4.942	eV per atom
spin magnetization	0.000	μB/cell
crystal system	monoclinic


Record 6
Material: Al2CdSeO
Method: DFT, PBE
State: optimized geometry

```
Al2CdSeO
1.0
5.290 0.000 0.000
0.000 4.026 0.000
0.000 0.000 5.290
O Al Se Cd
1 2 1 1
Direct
0.000 0.500 0.000 O
0.000 0.000 0.500 Al
0.500 0.000 0.000 Al
0.500 0.500 0.500 Se
0.000 0.000 0.000 Cd
```

Output
formation energy without anion corrections	329	meV/atom
uncorrected energy	-3.039	eV per atom
spin magnetization	0.000	μB/cell
crystal system	tetragonal


Record 7
Material: Dy2Zr3Sc8
Method: DFT, PBE
State: optimized geometry

```
Dy2Zr3Sc8
1.0
4.462 0.000 0.000
0.000 7.127 0.711
0.000 -0.307 10.739
Dy Zr Sc
2 3 8
Direct
0.500 0.736 0.436 Dy
0.500 0.264 0.564 Dy
0.500 0.000 0.000 Zr
0.000 0.713 0.935 Zr
0.000 0.287 0.065 Zr
0.000 0.437 0.342 Sc
0.000 0.563 0.658 Sc
0.000 0.878 0.203 Sc
0.000 0.122 0.797 Sc
0.500 0.416 0.861 Sc
0.500 0.831 0.745 Sc
0.500 0.169 0.255 Sc
0.500 0.584 0.139 Sc
```

Output
uncorrected energy	-6.447	eV per atom
spin magnetization	0.000	μB/cell
crystal system	monoclinic
DFT formation energy	163	kJ/mol of formula units


Record 8
Material: CaBi2Pb2
Method: DFT, PBE
State: optimized geometry

```
CaBi2Pb2
1.0
8.858 0.000 0.000
0.000 8.858 0.000
0.000 0.000 4.223
Pb Ca Bi
4 2 4
Direct
0.370 0.870 0.000 Pb
0.870 0.630 0.000 Pb
0.630 0.130 0.000 Pb
0.130 0.370 0.000 Pb
0.000 0.000 0.000 Ca
0.500 0.500 0.000 Ca
0.172 0.672 0.500 Bi
0.672 0.828 0.500 Bi
0.828 0.328 0.500 Bi
0.328 0.172 0.500 Bi
```

Output
uncorrected energy	-3.565	eV per atom
spin magnetization	0.000	μB/cell
crystal system	tetragonal
DFT formation energy	-62	kJ/mol of formula units


Record 9
Material: AcPd
Method: DFT, PBE
State: optimized geometry

```
AcPd
1.0
-2.837 -0.520 2.992
-3.213 -1.189 -3.253
2.963 -5.317 -0.982
Ac Pd
2 2
Direct
0.365 0.250 0.731 Ac
0.635 0.750 0.269 Ac
0.913 0.750 0.826 Pd
0.087 0.250 0.174 Pd
```

Output
uncorrected energy	-5.466	eV per atom
spin magnetization	0.000	μB/cell
crystal system	monoclinic
DFT formation energy	-157	kJ/mol of formula units


Record 10
Material: ReRu3
Method: DFT, PBE
State: optimized geometry

```
ReRu3
1.0
5.474 0.000 0.000
-2.737 4.741 0.000
0.000 0.000 4.343
Re Ru
2 6
Direct
0.333 0.667 0.250 Re
0.667 0.333 0.750 Re
0.833 0.167 0.250 Ru
0.167 0.833 0.750 Ru
0.833 0.666 0.250 Ru
0.167 0.334 0.750 Ru
0.334 0.167 0.250 Ru
0.666 0.833 0.750 Ru
```

Output
relative energy among the computed polymorphs	0.0	meV per atom
uncorrected energy	-10.156	eV per atom
spin magnetization	0.000	μB/cell
crystal system	hexagonal
DFT formation energy	-33	kJ/mol of formula units


Record 11
Material: CoRh2
Method: DFT, PBE
State: optimized geometry

```
CoRh2
1.0
-2.884 -0.240 2.378
3.294 -3.323 3.660
1.801 2.290 2.416
Co Rh
2 4
Direct
0.000 0.993 0.004 Co
0.000 0.674 0.663 Co
0.500 0.333 0.833 Rh
0.500 0.996 0.502 Rh
0.000 0.333 0.333 Rh
0.500 0.671 0.165 Rh
```

Output
uncorrected energy	-7.212	eV per atom
spin magnetization	4.993	μB/cell
crystal system	orthorhombic
DFT formation energy	17	kJ/mol of formula units


Record 12
Material: MgReP2O
Method: DFT, PBE
State: optimized geometry

```
MgReP2O
1.0
4.833 0.000 0.000
0.000 4.833 0.000
0.000 0.000 3.489
Re Mg O P
1 1 1 2
Direct
0.500 0.500 0.500 Re
0.000 0.000 0.000 Mg
0.000 0.000 0.500 O
0.000 0.500 0.000 P
0.500 0.000 0.000 P
```

Output
relative energy among the computed polymorphs	1181.3	meV per atom
formation energy without anion corrections	900	meV/atom
uncorrected energy	-5.064	eV per atom
spin magnetization	1.856	μB/cell
crystal system	tetragonal